DFT (PBE with a Hubbard U) results for a relaxed structure of CoTe2NO.

Results
- polymorph energy (0 for the lowest one) (meV/atom) = 0

Lattice parameters (Å, degrees): 5.101 5.101 3.294 90.00 90.00 90.00
Fractional coordinates of all 5 atoms:
1 O 0.500 0.500 0.500
2 Co 0.000 0.000 0.000
3 N 0.000 0.000 0.500
4 Te 0.500 0.000 0.000
5 Te 0.000 0.500 0.000